An optimized crystal structure of YRe5, computed with PBE-GGA.

* total moment: 0.00 Bohr magnetons per cell
* N(E_F): 6.45 states/eV/f.u.
* energy relative to the elements: 216 meV/atom
* symmetry: No. 216

```
data_YRe5
_chemical_formula_sum 'Y1 Re5'
_cell_length_a 5.258
_cell_length_b 5.258
_cell_length_c 5.258
_cell_angle_alpha 60.00
_cell_angle_beta 60.00
_cell_angle_gamma 60.00
_symmetry_space_group_name_H-M 'P 1'
_symmetry_Int_Tables_number 1
loop_
_symmetry_equiv_pos_as_xyz
'x,y,z'
loop_
_atom_site_label
_atom_site_type_symbol
_atom_site_fract_x
_atom_site_fract_y
_atom_site_fract_z
Y1 Y 0.000 0.000 0.000
Re1 Re 0.877 0.374 0.374
Re2 Re 0.750 0.750 0.750
Re3 Re 0.374 0.877 0.374
Re4 Re 0.374 0.374 0.374
Re5 Re 0.374 0.374 0.877
```

An optimized crystal structure of RuCl3, computed with PBE-GGA.

* total moment: 0.29 Bohr magnetons per cell
* raw formation energy: 0.01 eV/atom
* N(E_F): 5.65 states/eV/f.u.
* symmetry: No. 166

```
data_RuCl3
_chemical_formula_sum 'Ru1 Cl3'
_cell_length_a 9.527
_cell_length_b 9.527
_cell_length_c 9.527
_cell_angle_alpha 21.41
_cell_angle_beta 21.41
_cell_angle_gamma 21.41
_symmetry_space_group_name_H-M 'P 1'
_symmetry_Int_Tables_number 1
loop_
_symmetry_equiv_pos_as_xyz
'x,y,z'
loop_
_atom_site_label
_atom_site_type_symbol
_atom_site_fract_x
_atom_site_fract_y
_atom_site_fract_z
Ru1 Ru 0.500 0.500 0.500
Cl1 Cl 0.000 0.000 0.000
Cl2 Cl 0.878 0.878 0.878
Cl3 Cl 0.122 0.122 0.122
```

An optimized crystal structure of La2ErThBi5, computed with PBE-GGA.

* total moment: 0.00 Bohr magnetons per cell
* N(E_F): 7.48 states/eV/f.u.
* energy relative to the elements: -72 meV/atom
* symmetry: No. 123

```
data_La2ErThBi5
_chemical_formula_sum 'La2 Er1 Th1 Bi5'
_cell_length_a 5.778
_cell_length_b 5.778
_cell_length_c 11.868
_cell_angle_alpha 90.00
_cell_angle_beta 90.00
_cell_angle_gamma 90.00
_symmetry_space_group_name_H-M 'P 1'
_symmetry_Int_Tables_number 1
loop_
_symmetry_equiv_pos_as_xyz
'x,y,z'
loop_
_atom_site_label
_atom_site_type_symbol
_atom_site_fract_x
_atom_site_fract_y
_atom_site_fract_z
La1 La 0.500 0.500 0.288
La2 La 0.500 0.500 0.712
Er1 Er 0.000 0.000 0.000
Th1 Th 0.000 0.000 0.500
Bi1 Bi 0.000 0.500 0.500
Bi2 Bi 0.500 0.000 0.500
Bi3 Bi 0.000 0.000 0.758
Bi4 Bi 0.000 0.000 0.242
Bi5 Bi 0.500 0.500 0.000
```

Number 1 is which compound? YRe5

What is the formula in the first record? YRe5

Please write out number 2 again, unchanged.
An optimized crystal structure of RuCl3, computed with PBE-GGA.

* total moment: 0.29 Bohr magnetons per cell
* raw formation energy: 0.01 eV/atom
* N(E_F): 5.65 states/eV/f.u.
* symmetry: No. 166

```
data_RuCl3
_chemical_formula_sum 'Ru1 Cl3'
_cell_length_a 9.527
_cell_length_b 9.527
_cell_length_c 9.527
_cell_angle_alpha 21.41
_cell_angle_beta 21.41
_cell_angle_gamma 21.41
_symmetry_space_group_name_H-M 'P 1'
_symmetry_Int_Tables_number 1
loop_
_symmetry_equiv_pos_as_xyz
'x,y,z'
loop_
_atom_site_label
_atom_site_type_symbol
_atom_site_fract_x
_atom_site_fract_y
_atom_site_fract_z
Ru1 Ru 0.500 0.500 0.500
Cl1 Cl 0.000 0.000 0.000
Cl2 Cl 0.878 0.878 0.878
Cl3 Cl 0.122 0.122 0.122
```

Number 1 is which compound? YRe5